# 1
Compound: NiAs2Se
Source: the Alexandria database
Functional: PBE
Structure: optimized geometry

Cell lengths 5.2536, 5.2536, 5.1482 Å; angles 90.00, 90.00, 90.00 degrees
Space group I4/mmm (No. 139)
One atom of each set of equivalent atoms:
1 Ni 0.0000 0.0000 0.0000 x2
2 As 0.0000 0.5000 0.0000 x4
3 Se 0.0000 0.0000 0.5000 x2

Results
Total magnetization ... 0.0 Bohr magnetons per cell
E_form (uncorrected) ... 0.34 eV/f.u.
Calculated volume ... 17.8 Å³/atom
Crystal system ... tetragonal

# 2
Compound: Tb3Pm7Ho
Source: the Alexandria database
Functional: PBE
Structure: optimized geometry

Cell lengths 12.8030, 11.3103, 5.8974 Å; angles 90.00, 117.41, 90.00 degrees
Space group C2/m (No. 12)
One atom of each set of equivalent atoms:
1 Tb 0.0000 0.0000 0.0000 x2
2 Tb 0.0000 0.2054 0.5000 x4
3 Pm 0.0000 0.5000 0.5000 x2
4 Pm 0.1939 0.2087 0.1936 x8
5 Pm 0.2096 0.0000 0.7081 x4
6 Ho 0.0000 0.5000 0.0000 x2

Results
Total magnetization ... 0.0 Bohr magnetons per cell
Energy above the most stable polymorph in this dataset ... 11.2 kJ/mol of atoms
Formation energy ... 236 meV/atom
Calculated volume ... 34.5 Å³/atom
Crystal system ... monoclinic

Please write out number 1 again, unchanged.
Compound: NiAs2Se
Source: the Alexandria database
Functional: PBE
Structure: optimized geometry

Cell lengths 5.2536, 5.2536, 5.1482 Å; angles 90.00, 90.00, 90.00 degrees
Space group I4/mmm (No. 139)
One atom of each set of equivalent atoms:
1 Ni 0.0000 0.0000 0.0000 x2
2 As 0.0000 0.5000 0.0000 x4
3 Se 0.0000 0.0000 0.5000 x2

Results
Total magnetization ... 0.0 Bohr magnetons per cell
E_form (uncorrected) ... 0.34 eV/f.u.
Calculated volume ... 17.8 Å³/atom
Crystal system ... tetragonal

- Which of these has the lowest calculated volume?
  NiAs2Se

- The highest calculated volume belongs to which entry?
  Tb3Pm7Ho